(1)
{
  "formula": "Ta3PtI",
  "functional": "PBEsol",
  "state": "optimized geometry",
  "lattice_angstrom": [[4.9073, 0.0000, 0.0000], [0.0000, 4.9073, 0.0000], [0.0000, 0.0000, 4.9073]],
  "species": ["Ta", "Ta", "Ta", "Pt", "I"],
  "frac_coords": [[0.0000, 0.0000, 0.5000], [0.0000, 0.5000, 0.0000], [0.5000, 0.0000, 0.0000], [0.0000, 0.0000, 0.0000], [0.5000, 0.5000, 0.5000]],
  "magmom_total_mub_per_cell": 0.00,
  "dos_at_fermi_per_ev_cell": 6.25,
  "dft_energy_ev_per_cell": -39.7,
  "relative_energy_mev_per_atom": 0.0
}


(2)
{
  "formula": "Sr11Al4Sn3",
  "functional": "PBEsol",
  "state": "optimized geometry",
  "lattice_angstrom": [[0.0000, 8.5824, 8.5824], [8.5824, 0.0000, 8.5824], [8.5824, 8.5824, 0.0000]],
  "species": ["Sr", "Sr", "Sr", "Sr", "Sr", "Sr", "Sr", "Sr", "Sr", "Sr", "Sr", "Sr", "Sr", "Sr", "Sr", "Sr", "Sr", "Sr", "Sr", "Sr", "Sr", "Sr", "Al", "Al", "Al", "Al", "Al", "Al", "Al", "Al", "Sn", "Sn", "Sn", "Sn", "Sn", "Sn"],
  "frac_coords": [[0.0000, 0.0000, 0.0000], [0.0000, 0.0000, 0.3343], [0.0000, 0.0000, 0.6657], [0.0000, 0.3343, 0.0000], [0.0000, 0.3343, 0.6657], [0.0000, 0.6657, 0.0000], [0.0000, 0.6657, 0.3343], [0.1136, 0.6288, 0.6288], [0.3343, 0.0000, 0.0000], [0.3343, 0.0000, 0.6657], [0.3343, 0.6657, 0.0000], [0.3712, 0.3712, 0.3712], [0.3712, 0.3712, 0.8864], [0.3712, 0.8864, 0.3712], [0.5000, 0.5000, 0.5000], [0.6288, 0.1136, 0.6288], [0.6288, 0.6288, 0.1136], [0.6288, 0.6288, 0.6288], [0.6657, 0.0000, 0.0000], [0.6657, 0.0000, 0.3343], [0.6657, 0.3343, 0.0000], [0.8864, 0.3712, 0.3712], [0.1942, 0.1942, 0.1942], [0.1942, 0.1942, 0.4174], [0.1942, 0.4174, 0.1942], [0.4174, 0.1942, 0.1942], [0.5826, 0.8058, 0.8058], [0.8058, 0.5826, 0.8058], [0.8058, 0.8058, 0.5826], [0.8058, 0.8058, 0.8058], [0.2825, 0.2825, 0.7175], [0.2825, 0.7175, 0.2825], [0.2825, 0.7175, 0.7175], [0.7175, 0.2825, 0.2825], [0.7175, 0.2825, 0.7175], [0.7175, 0.7175, 0.2825]],
  "delta_e_f_ev_per_atom": -0.409,
  "magmom_total_mub_per_cell": 0.01,
  "dos_at_fermi_per_ev_cell": 13.06,
  "dft_energy_ev_per_cell": -113.5
}


(3)
{
  "formula": "KInOs2",
  "functional": "PBEsol",
  "state": "optimized geometry",
  "lattice_angstrom": [[2.7696, 0.0000, 0.0000], [0.0000, 3.7814, 0.0000], [0.0000, 0.0000, 8.2938]],
  "species": ["K", "In", "Os", "Os"],
  "frac_coords": [[0.0000, 0.0000, 0.0000], [0.5000, 0.5000, 0.6624], [0.0000, 0.0000, 0.4336], [0.5000, 0.5000, 0.3146]],
  "delta_e_f_ev_per_atom": 0.530,
  "magmom_total_mub_per_cell": 0.00,
  "dos_at_fermi_per_ev_cell": 2.45,
  "dft_energy_ev_per_cell": -26.4
}